The following is a DFT calculation (GGA-PBE) of crystalline MgPt2Au at its relaxed geometry.

Output
Energy of formation, eV per atom: -0.45
Space-group type: I-4m2

a = 4.9098 Å, b = 4.9098 Å, c = 4.9098 Å
α = 131.14°, β = 131.14°, γ = 71.59°
Last column: nearest neighbours and their distance in Å.
Positions (direct):
Mg: 0.0000 0.0000 0.0000  4 Au 2.84, 8 Pt 2.84-2.87
Pt: 0.2500 0.7500 0.5000  4 Pt 2.84, 4 Mg 2.84, 4 Au 2.87
Pt: 0.5000 0.5000 0.0000  4 Au 2.84, 4 Pt 2.84, 4 Mg 2.87
Au: 0.7500 0.2500 0.5000  8 Pt 2.84-2.87, 4 Mg 2.84



The following is a DFT calculation (GGA-PBE) of crystalline KZrHSe2 at its relaxed geometry.

Output
Energy above the lowest structure with this stoichiometry, meV per atom: 100
Space-group type: P4/mmm

a = 5.3023 Å, b = 5.3023 Å, c = 4.1604 Å
α = 90.00°, β = 90.00°, γ = 90.00°
Last column: nearest neighbours and their distance in Å.
Positions (direct):
K: 0.0000 0.0000 0.0000  8 Se 3.37, 4 H 3.75
Zr: 0.5000 0.5000 0.5000  2 H 2.08
H: 0.5000 0.5000 0.0000  2 Zr 2.08
Se: 0.0000 0.5000 0.5000  2 Zr 2.65
Se: 0.5000 0.0000 0.5000  2 Zr 2.65



The following is a DFT calculation (GGA-PBE) of crystalline AlAg2BOs at its relaxed geometry.

Output
Energy of formation, eV per atom: 1.66
Space-group type: P4/mmm

a = 4.7997 Å, b = 4.7997 Å, c = 3.8649 Å
α = 90.00°, β = 90.00°, γ = 90.00°
Last column: nearest neighbours and their distance in Å.
Positions (direct):
Al: 0.0000 0.0000 0.0000  2 B 1.93
Ag: 0.0000 0.5000 0.0000  2 Al 2.40
Ag: 0.5000 0.0000 0.0000  2 Al 2.40
B: 0.0000 0.0000 0.5000  2 Al 1.93
Os: 0.5000 0.5000 0.5000  8 Ag 3.08, 4 B 3.39



The following is a DFT calculation (GGA-PBE) of crystalline PuThZnGe at its relaxed geometry.

Output
Energy of formation, eV per atom: -0.29
Space-group type: F-43m

a = 5.1124 Å, b = 5.1124 Å, c = 5.1124 Å
α = 60.00°, β = 60.00°, γ = 60.00°
Last column: nearest neighbours and their distance in Å.
Positions (direct):
Pu: 0.0000 0.0000 0.0000  4 Ge 3.13, 4 Zn 3.13
Th: 0.5000 0.5000 0.5000  4 Ge 3.13, 4 Zn 3.13
Zn: 0.2500 0.2500 0.2500  4 Th 3.13, 4 Pu 3.13
Ge: 0.7500 0.7500 0.7500  4 Th 3.13, 4 Pu 3.13



The following is a DFT calculation (GGA-PBE) of crystalline CuIr2 at its relaxed geometry.

Output
Energy of formation, eV per atom: 0.43
Energy above the lowest structure with this stoichiometry, meV per atom: 366
Space-group type: Imma

a = 9.0935 Å, b = 9.0935 Å, c = 9.0935 Å
α = 163.24°, β = 154.64°, γ = 30.55°
Last column: nearest neighbours and their distance in Å.
Positions (direct):
Cu: 0.3693 0.1193 0.2500  2 Cu 2.65, 8 Ir 2.68-2.75
Cu: 0.6307 0.8807 0.7500  2 Cu 2.65, 8 Ir 2.68-2.75
Ir: 0.0617 0.3117 0.7500  5 Ir 2.54-2.65, 4 Cu 2.68
Ir: 0.2079 0.4579 0.7500  5 Ir 2.48-2.65, 4 Cu 2.75
Ir: 0.7921 0.5421 0.2500  5 Ir 2.48-2.65, 4 Cu 2.75
Ir: 0.9383 0.6883 0.2500  5 Ir 2.54-2.65, 4 Cu 2.68



The following is a DFT calculation (GGA-PBE) of crystalline ZrMo2Os at its relaxed geometry.

Output
Energy of formation, eV per atom: 0.15
Energy above the lowest structure with this stoichiometry, meV per atom: 275
Space-group type: P4/mmm

a = 2.8448 Å, b = 2.8448 Å, c = 8.4482 Å
α = 90.00°, β = 90.00°, γ = 90.00°
Last column: nearest neighbours and their distance in Å.
Positions (direct):
Zr: 0.0000 0.0000 0.0000  4 Zr 2.84, 8 Mo 3.12
Mo: 0.5000 0.5000 0.2819  4 Os 2.73, 4 Mo 2.84
Mo: 0.5000 0.5000 0.7181  4 Os 2.73, 4 Mo 2.84
Os: 0.0000 0.0000 0.5000  8 Mo 2.73, 4 Os 2.84



The following is a DFT calculation (GGA-PBE) of crystalline Ga2AsBrO at its relaxed geometry.

Output
Formation energy (no corrections), eV/atom: 0.488
Space-group type: P4/mmm

a = 5.3998 Å, b = 5.3998 Å, c = 3.8174 Å
α = 90.00°, β = 90.00°, γ = 90.00°
Last column: nearest neighbours and their distance in Å.
Positions (direct):
Ga: 0.0000 0.5000 0.0000  2 Br 2.70
Ga: 0.5000 0.0000 0.0000  2 Br 2.70
As: 0.0000 0.0000 0.5000  8 Ga 3.31
Br: 0.5000 0.5000 0.0000  2 O 1.91
O: 0.5000 0.5000 0.5000  2 Br 1.91



The following is a DFT calculation (GGA-PBE) of crystalline Sc5Zn12Cu2 at its relaxed geometry.

Output
Energy of formation, eV per atom: -0.22
Space-group type: C2/m

a = 8.0655 Å, b = 8.0655 Å, c = 6.4623 Å
α = 93.30°, β = 93.30°, γ = 49.88°
Last column: nearest neighbours and their distance in Å.
Positions (direct):
Sc: 0.0000 0.0000 0.0000  10 Zn 2.82-3.11
Sc: 0.2403 0.2403 0.9226  10 Zn 2.87-3.18, 1 Sc 3.19
Sc: 0.3019 0.3019 0.4574  7 Zn 2.78-3.04
Sc: 0.6981 0.6981 0.5426  7 Zn 2.78-3.04
Sc: 0.7597 0.7597 0.0774  10 Zn 2.87-3.18, 1 Sc 3.19
Zn: 0.0451 0.6595 0.7475  4 Zn 2.54-2.76
Zn: 0.0955 0.0955 0.5838  2 Cu 2.55, 4 Zn 2.66-2.68
Zn: 0.1983 0.5878 0.1526  5 Zn 2.65-2.76, 1 Cu 2.65, 4 Sc 2.78-2.92
Zn: 0.3405 0.9549 0.2525  4 Zn 2.54-2.76
Zn: 0.4122 0.8017 0.8474  5 Zn 2.65-2.76, 1 Cu 2.65, 4 Sc 2.78-2.92
Zn: 0.4488 0.4488 0.8114  7 Zn 2.54-2.78, 2 Cu 2.56
Zn: 0.5512 0.5512 0.1886  7 Zn 2.54-2.78, 2 Cu 2.56
Zn: 0.5878 0.1983 0.1526  5 Zn 2.65-2.76, 1 Cu 2.65, 4 Sc 2.78-2.92
Zn: 0.6595 0.0451 0.7475  4 Zn 2.54-2.76
Zn: 0.8017 0.4122 0.8474  5 Zn 2.65-2.76, 1 Cu 2.65, 4 Sc 2.78-2.92
Zn: 0.9045 0.9045 0.4162  2 Cu 2.55, 4 Zn 2.66-2.68
Zn: 0.9549 0.3405 0.2525  4 Zn 2.54-2.76
Cu: 0.3069 0.6931 0.5000  6 Zn 2.55-2.65, 1 Cu 2.63
Cu: 0.6931 0.3069 0.5000  6 Zn 2.55-2.65, 1 Cu 2.63



The following is a DFT calculation (GGA-PBE) of crystalline MgGaNO at its relaxed geometry.

Output
Formation energy (no corrections), eV/atom: -1.478
Space-group type: R3m

a = 5.6392 Å, b = 5.6392 Å, c = 5.6392 Å
α = 33.39°, β = 33.39°, γ = 33.39°
Last column: nearest neighbours and their distance in Å.
Positions (direct):
Mg: 0.0000 0.0000 0.0000  3 O 1.99, 1 N 2.09
Ga: 0.5006 0.5006 0.5006  3 N 1.95, 1 O 1.98
N: 0.8691 0.8691 0.8691  3 Ga 1.95, 1 Mg 2.09
O: 0.3767 0.3767 0.3767  1 Ga 1.98, 3 Mg 1.99



The following is a DFT calculation (GGA-PBE) of crystalline SmAlCu4Si2 at its relaxed geometry.

Output
Formation energy (no corrections), eV/atom: -0.236
Space-group type: R-3m

a = 9.3485 Å, b = 9.3485 Å, c = 9.3485 Å
α = 24.82°, β = 24.82°, γ = 24.82°
Last column: nearest neighbours and their distance in Å.
Positions (direct):
Sm: 0.0000 0.0000 0.0000  8 Cu 3.12-3.26, 6 Si 3.12
Al: 0.5000 0.5000 0.5000  8 Cu 2.45-2.64
Cu: 0.1199 0.1199 0.1199  3 Si 2.60, 3 Cu 2.60, 3 Al 2.64
Cu: 0.4099 0.4099 0.4099  3 Si 2.32, 1 Al 2.45
Cu: 0.5901 0.5901 0.5901  3 Si 2.32, 1 Al 2.45
Cu: 0.8801 0.8801 0.8801  3 Si 2.60, 3 Cu 2.60, 3 Al 2.64
Si: 0.2566 0.2566 0.2566  3 Cu 2.32
Si: 0.7434 0.7434 0.7434  3 Cu 2.32



The following is a DFT calculation (GGA-PBE) of crystalline CePdRh at its relaxed geometry.

Output
Energy of formation, eV per atom: -0.52
Energy above the lowest structure with this stoichiometry, meV per atom: 190
Space-group type: P-6m2

a = 4.4360 Å, b = 4.4360 Å, c = 3.6597 Å
α = 90.00°, β = 90.00°, γ = 120.00°
Last column: nearest neighbours and their distance in Å.
Positions (direct):
Ce: 0.0000 0.0000 0.0000  6 Pd 3.15, 6 Rh 3.15
Pd: 0.3333 0.6667 0.5000  3 Rh 2.56
Rh: 0.6667 0.3333 0.5000  3 Pd 2.56



The following is a DFT calculation (GGA-PBE) of crystalline DyY8Tm5 at its relaxed geometry.

Output
Energy of formation, eV per atom: 0.25
Space-group type: I-4

a = 8.4099 Å, b = 8.4099 Å, c = 8.4099 Å
α = 111.06°, β = 111.06°, γ = 106.35°
Last column: nearest neighbours and their distance in Å.
Positions (direct):
Dy: 0.0000 0.0000 0.0000  4 Y 3.22
Y: 0.0841 0.3238 0.4136  4 Tm 3.10-3.45, 1 Dy 3.22
Y: 0.1683 0.4165 0.8933  5 Tm 3.29-3.52, 3 Y 3.57-3.64
Y: 0.3295 0.9159 0.2397  4 Tm 3.10-3.45, 1 Dy 3.22
Y: 0.5232 0.2749 0.1067  5 Tm 3.29-3.52, 3 Y 3.57-3.64
Y: 0.5835 0.4768 0.7517  5 Tm 3.29-3.52, 3 Y 3.57-3.64
Y: 0.6762 0.0898 0.7603  4 Tm 3.10-3.45, 1 Dy 3.22
Y: 0.7251 0.8317 0.2483  5 Tm 3.29-3.52, 3 Y 3.57-3.64
Y: 0.9102 0.6705 0.5864  4 Tm 3.10-3.45, 1 Dy 3.22
Tm: 0.2139 0.0342 0.6001  8 Y 3.32-3.55, 2 Tm 3.53
Tm: 0.3861 0.7861 0.8202  8 Y 3.32-3.55, 2 Tm 3.53
Tm: 0.4341 0.6139 0.3999  8 Y 3.32-3.55, 2 Tm 3.53
Tm: 0.7500 0.2500 0.5000  8 Y 3.10-3.29
Tm: 0.9658 0.5659 0.1798  8 Y 3.32-3.55, 2 Tm 3.53



Total magnetic moment in μB per formula unit, matching the order above: 0.0, 0.0, 1.8, 5.9, 0.0, 0.0, 0.0, 0.0, 0.0, 0.0, 0.7, 0.0